{"formula": "Pm12NpRu7", "functional": "PBE", "state": "relaxed", "magnetic_moment_mub_per_fu": 1.2, "dos_at_fermi_per_ev_fu": 17.6, "formation_energy_ev_per_atom": -0.18, "cell": [[8.986, -0.241, -0.362], [-2.730, 8.565, -0.362], [-2.730, -3.633, 7.764]], "species": ["Pm", "Pm", "Pm", "Pm", "Pm", "Pm", "Pm", "Pm", "Pm", "Pm", "Pm", "Pm", "Ru", "Ru", "Ru", "Ru", "Ru", "Ru", "Ru", "Np"], "fractional_positions": [[0.346, 0.425, 0.134], [0.425, 0.134, 0.346], [0.575, 0.866, 0.654], [0.341, 0.755, 0.903], [0.755, 0.903, 0.341], [0.097, 0.659, 0.245], [0.659, 0.245, 0.097], [0.903, 0.341, 0.755], [0.654, 0.575, 0.866], [0.134, 0.346, 0.425], [0.245, 0.097, 0.659], [0.866, 0.654, 0.575], [0.275, 0.050, 0.962], [0.500, 0.500, 0.500], [0.962, 0.275, 0.050], [0.050, 0.962, 0.275], [0.725, 0.950, 0.038], [0.038, 0.725, 0.950], [0.950, 0.038, 0.725], [0.000, 0.000, 0.000]]}

***

{"formula": "Hg2Bi2Pt", "functional": "PBE", "state": "relaxed", "relative_energy_mev_per_atom": 0, "magnetic_moment_mub_per_fu": 0.0, "dos_at_fermi_per_ev_fu": 1.2, "formation_energy_ev_per_atom": 0.09, "cell": [[-6.042, -3.587, 1.675], [-0.663, -2.095, -6.881], [2.949, -4.465, 1.075]], "species": ["Hg", "Hg", "Hg", "Hg", "Bi", "Bi", "Bi", "Bi", "Pt", "Pt"], "fractional_positions": [[0.830, 0.330, 0.500], [0.330, 0.170, 0.500], [0.170, 0.670, 0.500], [0.670, 0.830, 0.500], [0.845, 0.655, 0.000], [0.155, 0.345, 0.000], [0.345, 0.845, 0.000], [0.655, 0.155, 0.000], [0.000, 0.000, 0.000], [0.500, 0.500, 0.000]]}

***

{"formula": "CaPmTh2Rh4", "functional": "PBE", "state": "relaxed", "magnetic_moment_mub_per_fu": 0.0, "dos_at_fermi_per_ev_fu": 2.4, "formation_energy_ev_per_atom": -0.66, "cell": [[-5.679, -0.816, -0.637], [0.127, -5.233, 2.435], [1.891, 5.313, 4.066]], "species": ["Ca", "Rh", "Rh", "Rh", "Rh", "Pm", "Th", "Th"], "fractional_positions": [[0.519, 0.519, 0.000], [0.411, 0.035, 0.000], [0.162, 0.162, 0.535], [0.035, 0.411, 0.000], [0.627, 0.627, 0.465], [0.933, 0.933, 0.000], [0.656, 0.156, 0.500], [0.156, 0.656, 0.500]]}

***

{"formula": "AcPaIrO6", "functional": "PBE", "state": "relaxed", "magnetic_moment_mub_per_fu": 0.1, "e_form_raw_ev_per_atom": -2.380, "dos_at_fermi_per_ev_fu": 1.9, "cell": [[7.888, 0.000, 0.000], [0.000, 7.317, 0.000], [-3.944, -3.659, 5.407]], "species": ["O", "O", "O", "O", "O", "O", "O", "O", "O", "O", "O", "O", "Ir", "Ir", "Ac", "Ac", "Pa", "Pa"], "fractional_positions": [[0.170, 0.920, 0.341], [0.183, 0.356, 0.712], [0.470, 0.144, 0.288], [0.530, 0.856, 0.712], [0.470, 0.644, 0.288], [0.817, 0.644, 0.288], [0.530, 0.280, 0.061], [0.830, 0.080, 0.659], [0.530, 0.356, 0.712], [0.817, 0.144, 0.288], [0.183, 0.856, 0.712], [0.470, 0.720, 0.939], [0.500, 0.000, 0.000], [0.500, 0.500, 0.000], [0.244, 0.494, 0.488], [0.756, 0.506, 0.512], [0.500, 0.000, 0.500], [0.000, 0.000, 0.500]]}

***

{"formula": "Mn2NiW2", "functional": "PBE", "state": "relaxed", "relative_energy_mev_per_atom": 408, "magnetic_moment_mub_per_fu": 0.8, "dos_at_fermi_per_ev_fu": 7.5, "formation_energy_ev_per_atom": 0.74, "cell": [[-1.369, -3.548, 1.300], [1.339, -1.749, -3.362], [4.167, -3.491, 1.074]], "species": ["Ni", "W", "W", "Mn", "Mn"], "fractional_positions": [[0.000, 0.000, 0.000], [0.250, 0.750, 0.500], [0.750, 0.250, 0.500], [0.389, 0.389, 0.223], [0.611, 0.611, 0.777]]}

***

{"formula": "Co2Pt", "functional": "PBE", "state": "relaxed", "magnetic_moment_mub_per_fu": 3.8, "dos_at_fermi_per_ev_fu": 3.3, "formation_energy_ev_per_atom": -0.06, "cell": [[-0.879, 1.119, 2.228], [2.669, -1.597, 1.855], [1.446, 3.386, -2.699]], "species": ["Co", "Co", "Pt"], "fractional_positions": [[0.674, 0.674, 0.348], [0.326, 0.326, 0.652], [0.000, 0.000, 0.000]]}